VASP calculation (GGA-PBE) on CdSb2Au3 after structural relaxation.

Cell and atoms, written as extended XYZ:
```
12
Lattice="7.124 0.000 0.000 0.000 9.708 -5.204 0.000 -3.099 5.876" Properties=species:S:1:pos:R:3 pbc="T T T"
Au 5.343 6.918 -2.080
Au 1.781 2.463 1.266
Cd 5.343 1.326 2.474
Sb 3.562 2.003 -1.073
Au 1.781 6.560 0.580
Au 5.343 0.049 0.092
Sb 7.124 7.706 -4.131
Au 5.343 4.146 -0.594
Au 1.781 -0.309 2.752
Sb 0.000 2.003 -1.073
Cd 1.781 5.283 -1.803
Sb 3.562 7.706 -4.131
```

Calculated values
Total moment in μB/f.u.: 0.00
Formation energy (no corrections) in eV per atom: 0.006
Symmetry: Cmcm, No. 63